Compound: SrCoW2
Source: Alexandria via LeMat-Bulk
Functional: PBE
Structure: relaxed

The structure in POSCAR format:
```
SrCoW2
1.0
-2.304 1.222 3.742
-4.439 -0.980 0.366
-1.397 -3.179 2.957
W Co Sr
2 1 1
Direct
0.250 0.250 0.250 W
0.750 0.750 0.750 W
0.000 0.000 0.000 Co
0.500 0.500 0.500 Sr
```

Values from the calculation:
V = 16.8 A^3/atom
SG = No. 225
E_form = 1.539 eV per atom
N(E_F) = 1.085 states/eV/atom
Offset from the most stable computed form = 873.0 meV per atom
Crystal system = cubic
Electronic total energy = -0.524 Ry/atom